# 1
VASP calculation (PBE-GGA) on CaTeO4 after structural relaxation.

Cell: 5.009 5.657 5.924 Å, 106.70 90.00 90.00°
Fractional positions:
Ca  0.000  0.500  0.500
Ca  0.500  0.000  0.500
Te  0.500  0.500  0.000
Te  0.000  0.000  0.000
O  0.259  0.795  0.128
O  0.241  0.295  0.128
O  0.646  0.602  0.303
O  0.146  0.898  0.697
O  0.854  0.102  0.303
O  0.354  0.398  0.697
O  0.759  0.705  0.872
O  0.741  0.205  0.872

Results
* DOS(E_F): 0.0 states/eV per cell
* VASP energy: -5.921 eV per atom

=====

# 2
VASP calculation (PBE-GGA) on Tb4Dy7Th after structural relaxation.

Cell: 5.921 11.510 6.725 Å, 83.59 63.88 75.10°
Fractional positions:
Tb  0.637  0.224  0.502
Tb  0.363  0.776  0.498
Tb  0.755  0.680  0.809
Tb  0.245  0.320  0.191
Dy  0.786  0.923  0.504
Dy  0.214  0.077  0.496
Dy  0.061  0.677  0.201
Dy  0.939  0.323  0.799
Dy  0.368  0.500  0.764
Dy  0.500  0.000  0.000
Dy  0.632  0.500  0.236
Th  0.000  0.000  0.000

Results
* DOS(E_F): 18.3 states/eV per cell
* VASP energy: -4.542 eV per atom

=====

# 3
VASP calculation (PBE-GGA) on TlPtI5 after structural relaxation.

Cell: 13.456 13.456 11.383 Å, 77.01 77.01 148.45°
Fractional positions:
Tl  0.943  0.557  0.250
Tl  0.057  0.443  0.750
Pt  0.000  0.000  0.000
Pt  0.500  0.500  0.500
I  0.138  0.049  0.182
I  0.190  0.798  0.501
I  0.549  0.638  0.682
I  0.669  0.831  0.250
I  0.702  0.310  0.999
I  0.298  0.690  0.001
I  0.331  0.169  0.750
I  0.451  0.362  0.318
I  0.810  0.202  0.499
I  0.862  0.951  0.818

Results
* DOS(E_F): 8.2 states/eV per cell
* VASP energy: -2.476 eV per atom

=====

# 4
VASP calculation (PBE-GGA) on BeHg2Sb after structural relaxation.

Cell: 4.047 4.049 5.851 Å, 79.75 90.00 90.00°
Fractional positions:
Sb  0.500  0.500  0.500
Hg  0.000  0.000  0.000
Hg  0.500  0.500  0.000
Be  0.000  0.000  0.500

Results
* DOS(E_F): 1.6 states/eV per cell
* VASP energy: -1.689 eV per atom

=====

# 5
VASP calculation (PBE-GGA) on Cs2CdPtPb after structural relaxation.

Cell: 6.867 6.867 5.226 Å, 90.00 90.00 90.00°
Fractional positions:
Pb  0.000  0.000  0.500
Cs  0.000  0.500  0.000
Cs  0.500  0.000  0.000
Pt  0.000  0.000  0.000
Cd  0.500  0.500  0.500

Results
* DOS(E_F): 3.6 states/eV per cell
* VASP energy: -2.484 eV per atom

=====

# 6
VASP calculation (PBE-GGA) on Tb2SiI2 after structural relaxation.

Cell: 4.080 7.457 11.055 Å, 90.00 90.00 105.88°
Fractional positions:
Tb  0.229  0.457  0.134
Tb  0.037  0.075  0.904
Tb  0.771  0.543  0.634
Tb  0.963  0.925  0.404
Si  0.652  0.305  0.983
Si  0.348  0.695  0.483
I  0.902  0.805  0.135
I  0.367  0.735  0.829
I  0.098  0.195  0.635
I  0.633  0.265  0.329

Results
* DOS(E_F): 6.0 states/eV per cell
* VASP energy: -4.328 eV per atom